Density functional theory data (PBE+U) for crystalline Tl2NiPbO6 at its relaxed geometry.

The value obtained for the raw total energy is -96.6 eV for the cell shown. The value obtained for the spin magnetization is 0.20 μB per atom.

Cell: 10.0256 5.7407 5.4905 Å, 90.00 121.52 90.00°
Last column: nearest neighbours and their distance in Å.
Space group C2 (No. 5)
Unique sites:
Tl 0.2489 0.0000 0.2161 (multiplicity 4)  4 O 2.15-2.40
Ni 0.0000 0.4738 0.0000 (multiplicity 2)  4 O 2.02-2.04
Pb 0.0000 0.9734 0.5000 (multiplicity 2)  6 O 2.18-2.28
O 0.0821 0.2355 0.8349 (multiplicity 4)  1 Ni 2.04, 1 Pb 2.18
O 0.0837 0.7219 0.8526 (multiplicity 4)  1 Ni 2.02, 1 Pb 2.20
O 0.2491 0.9250 0.5994 (multiplicity 4)  1 Tl 2.15, 1 Pb 2.28, 1 Ni 2.34